(1)
Computed, not measured: an optimized crystal structure of PuU2NbN4 at the PBE level of DFT.

Lattice parameters (Å, degrees): 5.744 3.383 5.886 90.00 109.55 90.00
Space group P2/m (No. 10)
Inequivalent atoms, fractional coordinates:
Pu: 0.000 0.000 0.000
U: 0.500 0.000 0.500
U: 0.500 0.500 0.000
Nb: 0.000 0.500 0.500
N: 0.241 0.000 0.730
N: 0.250 0.500 0.269

Properties
E_form (uncorrected) (eV/f.u.): -10.10
DOS(E_F) (states/eV per atom): 1.4020

=====

(2)
Computed, not measured: an optimized crystal structure of LaFe9Si4 at the PBE level of DFT.

Lattice parameters (Å, degrees): 7.848 7.848 11.546 90.00 90.00 90.00
Space group I4/mcm (No. 140)
Inequivalent atoms, fractional coordinates:
La: 0.000 0.000 0.250
Fe: 0.000 0.500 0.000
Fe: 0.067 0.201 0.000
Fe: 0.123 0.377 0.180
Si: 0.172 0.328 0.380

Properties
E_form (uncorrected) (eV/f.u.): -5.40
DOS(E_F) (states/eV per atom): 1.0074

=====

(3)
Computed, not measured: an optimized crystal structure of Tl2As2O5 at the PBE level of DFT.

Lattice parameters (Å, degrees): 11.859 4.122 6.624 90.00 98.45 90.00
Space group C2/m (No. 12)
Inequivalent atoms, fractional coordinates:
Tl: 0.114 0.000 0.382
As: 0.154 0.500 0.912
O: 0.000 0.500 0.000
O: 0.160 0.500 0.651
O: 0.193 0.000 0.960

Properties
E_form (uncorrected) (eV/f.u.): -8.19

=====

(4)
Computed, not measured: an optimized crystal structure of TbCeCoTc at the PBE level of DFT.

Lattice parameters (Å, degrees): 6.809 6.809 6.809 90.00 90.00 90.00
Space group F-43m (No. 216)
Inequivalent atoms, fractional coordinates:
Tb: 0.000 0.000 0.000
Ce: 0.000 0.000 0.500
Co: 0.250 0.250 0.750
Tc: 0.250 0.250 0.250

Properties
Raw total energy (eV per atom): -7.0299
DOS(E_F) (states/eV per atom): 0.9084

=====

- Number 3 is which compound?
  Tl2As2O5